Compound: YHoF
Source: Alexandria
Functional: PBE-GGA
Structure: optimized geometry

a b c (Å): 3.694 3.694 5.614
angles (deg): 90.00 90.00 120.00
Fractional positions:
Y 0.667 0.333 0.407
Ho 0.000 0.000 0.924
F 0.333 0.667 0.669

Values from the calculation:
Volume in A^3/atom: 22.12
Space-group type: P3m1, No. 156
DOS at the Fermi energy in states/eV/cell: 2.34
Formation energy from raw total energies in eV per atom: -1.54


Compound: Y2HoF
Source: Alexandria
Functional: PBE-GGA
Structure: optimized geometry

a b c (Å): 3.678 3.678 8.747
angles (deg): 77.86 77.86 60.00
Fractional positions:
Y 0.723 0.723 0.830
Y 0.277 0.277 0.170
Ho 0.500 0.500 0.500
F 0.000 0.000 0.000

Values from the calculation:
Volume in A^3/atom: 24.85
Space-group type: R-3m, No. 166
DOS at the Fermi energy in states/eV/cell: 3.42
Formation energy from raw total energies in eV per atom: -1.14


Compound: Y2HoF11
Source: Alexandria
Functional: PBE-GGA
Structure: optimized geometry

a b c (Å): 8.375 8.626 8.626
angles (deg): 72.75 60.96 60.96
Last column: magnetic moment on the atom in μB.
Fractional positions:
F 0.892 0.807 0.193  0.24
F 0.161 0.059 0.210  0.13
F 0.500 0.500 0.500  0.43
F 0.570 0.210 0.059  0.13
F 0.000 0.000 0.000  0.43
Y 0.839 0.190 0.810  -0.01
F 0.457 0.974 0.313  0.13
F 0.957 0.813 0.474  0.13
Y 0.339 0.310 0.690  -0.01
Y 0.161 0.810 0.190  -0.01
Y 0.661 0.690 0.310  -0.01
F 0.255 0.313 0.974  0.13
F 0.745 0.687 0.026  0.13
F 0.108 0.193 0.807  0.24
F 0.839 0.941 0.790  0.13
F 0.043 0.187 0.526  0.13
F 0.339 0.290 0.441  0.13
F 0.392 0.693 0.307  0.24
Ho 0.250 0.250 0.250  -0.02
F 0.755 0.474 0.813  0.13
F 0.430 0.790 0.941  0.13
F 0.070 0.559 0.710  0.13
F 0.608 0.307 0.693  0.24
F 0.930 0.441 0.290  0.13
F 0.543 0.026 0.687  0.13
F 0.245 0.526 0.187  0.13
Ho 0.750 0.750 0.750  -0.02
F 0.661 0.710 0.559  0.13

Values from the calculation:
Volume in A^3/atom: 16.96
Space-group type: Ibam, No. 72
DOS at the Fermi energy in states/eV/cell: 22.76
Formation energy from raw total energies in eV per atom: -3.44


Compound: YHoF5
Source: Alexandria
Functional: PBE-GGA
Structure: optimized geometry

a b c (Å): 5.975 5.975 7.868
angles (deg): 70.85 70.85 73.61
Fractional positions:
F 0.760 0.740 0.125
Y 0.511 0.489 0.250
F 0.260 0.240 0.375
Ho 0.000 0.000 0.500
F 0.834 0.166 0.250
Ho 0.000 0.000 0.000
F 0.327 0.673 0.018
F 0.673 0.327 0.518
F 0.240 0.260 0.875
F 0.327 0.673 0.482
F 0.166 0.834 0.750
F 0.740 0.760 0.625
Y 0.489 0.511 0.750
F 0.673 0.327 0.982

Values from the calculation:
Volume in A^3/atom: 17.56
Space-group type: C2/c, No. 15
DOS at the Fermi energy in states/eV/cell: 0.42
Formation energy from raw total energies in eV per atom: -3.82


Compound: YHo2F
Source: Alexandria
Functional: PBE-GGA
Structure: optimized geometry

a b c (Å): 3.679 3.679 8.670
angles (deg): 77.75 77.75 60.00
Fractional positions:
Y 0.500 0.500 0.500
Ho 0.277 0.277 0.168
Ho 0.723 0.723 0.832
F 0.000 0.000 0.000

Values from the calculation:
Volume in A^3/atom: 24.64
Space-group type: R-3m, No. 166
DOS at the Fermi energy in states/eV/cell: 3.24
Formation energy from raw total energies in eV per atom: -1.14


Compound: YHo2F11
Source: Alexandria
Functional: PBE-GGA
Structure: optimized geometry

a b c (Å): 8.325 8.616 8.616
angles (deg): 72.55 61.11 61.11
Last column: magnetic moment on the atom in μB.
Fractional positions:
F 0.255 0.314 0.972  0.13
F 0.460 0.972 0.314  0.13
F 0.891 0.805 0.195  0.24
F 0.841 0.943 0.790  0.13
F 0.574 0.210 0.057  0.13
F 0.500 0.500 0.500  0.42
F 0.659 0.710 0.557  0.13
F 0.960 0.814 0.472  0.13
Y 0.250 0.250 0.250  -0.01
Ho 0.341 0.311 0.689  -0.02
Ho 0.659 0.689 0.311  -0.02
Ho 0.841 0.189 0.811  -0.02
Ho 0.159 0.811 0.189  -0.02
F 0.745 0.686 0.028  0.13
F 0.540 0.028 0.686  0.13
F 0.609 0.305 0.695  0.24
F 0.159 0.057 0.210  0.13
F 0.755 0.472 0.814  0.13
F 0.074 0.557 0.710  0.13
F 0.926 0.443 0.290  0.13
F 0.040 0.186 0.528  0.13
F 0.426 0.790 0.943  0.13
F 0.391 0.695 0.305  0.24
F 0.245 0.528 0.186  0.13
Y 0.750 0.750 0.750  -0.01
F 0.109 0.195 0.805  0.24
F 0.000 0.000 0.000  0.42
F 0.341 0.290 0.443  0.13

Values from the calculation:
Volume in A^3/atom: 16.86
Space-group type: Ibam, No. 72
DOS at the Fermi energy in states/eV/cell: 23.25
Formation energy from raw total energies in eV per atom: -3.45